Record 1
A relaxed structure of ZrUBe4, computed with PBE.

Cell: 4.864 4.864 4.864 Å, 60.00 60.00 60.00°
Each line ends with the local moment (μB).
Fractional coordinates of all 6 atoms:
Be1 0.625 0.125 0.625  0.00
U1 0.250 0.250 0.250  1.69
Be2 0.125 0.625 0.625  0.00
Zr1 0.000 0.000 0.000  0.03
Be3 0.625 0.625 0.125  0.00
Be4 0.625 0.625 0.625  0.00


Record 2
A relaxed structure of PaGaAg, computed with PBE.

Cell: 3.158 4.757 4.757 Å, 120.00 90.00 90.00°
Each line ends with the local moment (μB).
Fractional coordinates of all 3 atoms:
Ga1 0.166 0.000 0.000  -0.01
Ag1 0.167 0.667 0.333  0.01
Pa1 0.667 0.333 0.667  0.50


Record 3
A relaxed structure of CaAlIr2, computed with PBE.

Cell: 3.129 3.129 6.797 Å, 90.00 90.00 89.98°
Fractional coordinates of all 4 atoms:
Al1 0.500 0.500 0.250
Ir1 0.000 0.000 0.457
Ir2 0.000 0.000 0.043
Ca1 0.500 0.500 0.750


Number 1: spin magnetization 1.83 μB/cell, formation energy 152 meV per atom, total DFT energy (no corrections) -5.64 eV/atom. Number 2: spin magnetization 0.57 μB/cell, formation energy -132 meV per atom, total DFT energy (no corrections) -5.26 eV/atom. Number 3: spin magnetization 0.00 μB/cell, formation energy -497 meV per atom, total DFT energy (no corrections) -6.36 eV/atom.